Record 1
# Ti8TePb2, relaxed, DFT PBE
# total magnetic moment: 0.0028 μB per atom
# E_tot: -6.823 eV/atom
# density of states at the Fermi level: 1.44 states/eV/atom
# uncorrected formation energy: -0.1216 eV/atom
data_Ti8TePb2
_symmetry_space_group_name_H-M 'C 1 2/m 1'
_symmetry_Int_Tables_number 12
_cell_length_a 16.0426
_cell_length_b 4.8800
_cell_length_c 5.2449
_cell_angle_alpha 90.00
_cell_angle_beta 94.85
_cell_angle_gamma 90.00
loop_
_symmetry_equiv_pos_as_xyz
'x,y,z'
'-x,-y,-z'
'-x,y,-z'
'x,-y,z'
'x+1/2,y+1/2,z'
'-x+1/2,-y+1/2,-z'
'-x+1/2,y+1/2,-z'
'x+1/2,-y+1/2,z'
loop_
_atom_site_label
_atom_site_type_symbol
_atom_site_fract_x
_atom_site_fract_y
_atom_site_fract_z
Ti1 Ti 0.0458 0.0000 0.2657
Ti2 Ti 0.0878 0.5000 0.5330
Ti3 Ti 0.1714 0.5000 0.1086
Ti4 Ti 0.2349 0.0000 0.3419
Te1 Te 0.0000 0.5000 0.0000
Pb1 Pb 0.1482 0.0000 0.7957

Record 2
# TiTe2Pb, relaxed, DFT PBE
# total magnetic moment: 0.0000 μB per atom
# E_tot: -4.965 eV/atom
# density of states at the Fermi level: 0.66 states/eV/atom
# uncorrected formation energy: -0.4938 eV/atom
data_TiTe2Pb
_symmetry_space_group_name_H-M 'R -3 m'
_symmetry_Int_Tables_number 166
_symmetry_space_group_name_Hall '-R 3 2"'
_cell_length_a 3.7130
_cell_length_b 3.7130
_cell_length_c 30.0581
_cell_angle_alpha 90.00
_cell_angle_beta 90.00
_cell_angle_gamma 120.00
loop_
_atom_site_label
_atom_site_type_symbol
_atom_site_fract_x
_atom_site_fract_y
_atom_site_fract_z
Ti1 Ti 0.0000 0.0000 0.0000
Te1 Te 0.0000 0.0000 0.3913
Pb1 Pb 0.0000 0.0000 0.5000

Record 3
# Ti2Te2Pb, relaxed, DFT PBE
# total magnetic moment: 0.0000 μB per atom
# E_tot: -5.389 eV/atom
# density of states at the Fermi level: 0.83 states/eV/atom
# uncorrected formation energy: -0.2326 eV/atom
# E above lowest polymorph: 93.8 meV per atom
data_Ti2Te2Pb
_symmetry_space_group_name_H-M 'I 4/m m m'
_symmetry_Int_Tables_number 139
_symmetry_space_group_name_Hall '-I 4 2'
_cell_length_a 3.9775
_cell_length_b 3.9775
_cell_length_c 16.0850
_cell_angle_alpha 90.00
_cell_angle_beta 90.00
_cell_angle_gamma 90.00
loop_
_atom_site_label
_atom_site_type_symbol
_atom_site_fract_x
_atom_site_fract_y
_atom_site_fract_z
Ti1 Ti 0.0000 0.5000 0.2500
Te1 Te 0.0000 0.0000 0.1251
Pb1 Pb 0.0000 0.0000 0.5000